A plane-wave DFT calculation with PBE-GGA was carried out for a geometry-optimized PuMgZnHg structure.

Unit cell a=7.1084 b=7.1084 c=7.1084 alpha=90.00 beta=90.00 gamma=90.00
Space group F-43m (No. 216)
One atom of each set of equivalent atoms:
Pu1 0.0000 0.0000 0.0000 (multiplicity 4)
Mg1 0.0000 0.0000 0.5000 (multiplicity 4)
Zn1 0.2500 0.2500 0.7500 (multiplicity 4)
Hg1 0.2500 0.2500 0.2500 (multiplicity 4)

DFT formation energy: -0.133 eV/atom

A plane-wave DFT calculation with PBE-GGA was carried out for a geometry-optimized Rb2MgHg structure.

Unit cell a=4.2590 b=4.2590 c=39.2725 alpha=90.00 beta=90.00 gamma=120.00
Space group R-3m (No. 166, hexagonal axes)
One atom of each set of equivalent atoms:
Rb1 0.0000 0.0000 0.0966 (multiplicity 6)
Mg1 0.0000 0.0000 0.0000 (multiplicity 3)
Hg1 0.0000 0.0000 0.5000 (multiplicity 3)

ΔE to the lowest computed polymorph: 0.608 eV per formula unit
DFT formation energy: 0.220 eV/atom

A plane-wave DFT calculation with PBE-GGA was carried out for a geometry-optimized RbMgHg14 structure.

Unit cell a=7.7459 b=7.7459 c=7.5065 alpha=90.00 beta=90.00 gamma=90.00
Space group P4/mmm (No. 123)
One atom of each set of equivalent atoms:
Rb1 0.0000 0.0000 0.0000 (multiplicity 1)
Mg1 0.5000 0.5000 0.0000 (multiplicity 1)
Hg1 0.0000 0.0000 0.5000 (multiplicity 1)
Hg2 0.0000 0.5000 0.0000 (multiplicity 2)
Hg3 0.0000 0.5000 0.5000 (multiplicity 2)
Hg4 0.2677 0.2677 0.2549 (multiplicity 8)
Hg5 0.5000 0.5000 0.5000 (multiplicity 1)

DFT formation energy: -0.055 eV/atom

A plane-wave DFT calculation with PBE-GGA was carried out for a geometry-optimized RbMgHg2 structure.

Unit cell a=5.9422 b=5.9422 c=19.2856 alpha=90.00 beta=90.00 gamma=90.00
Space group I-42d (No. 122)
One atom of each set of equivalent atoms:
Rb1 0.0000 0.0000 0.0000 (multiplicity 4)
Mg1 0.0000 0.0000 0.5000 (multiplicity 4)
Hg1 0.0028 0.7500 0.6250 (multiplicity 8)

DFT formation energy: -0.057 eV/atom

A plane-wave DFT calculation with PBE-GGA was carried out for a geometry-optimized RbMg5Hg3 structure.

Unit cell a=4.5536 b=14.9980 c=14.6148 alpha=90.00 beta=90.00 gamma=90.00
Space group Cmcm (No. 63)
One atom of each set of equivalent atoms:
Rb1 0.0000 0.1662 0.2500 (multiplicity 4)
Mg1 0.0000 0.0000 0.0000 (multiplicity 4)
Mg2 0.0000 0.1947 0.5591 (multiplicity 8)
Mg3 0.0000 0.4450 0.1445 (multiplicity 8)
Hg1 0.0000 0.1186 0.7500 (multiplicity 4)
Hg2 0.0000 0.3833 0.5478 (multiplicity 8)

DFT formation energy: -0.156 eV/atom

A plane-wave DFT calculation with PBE-GGA was carried out for a geometry-optimized RbMg2Hg2 structure.

Unit cell a=9.0698 b=9.0698 c=3.2939 alpha=90.00 beta=90.00 gamma=90.00
Space group P4/mbm (No. 127)
One atom of each set of equivalent atoms:
Rb1 0.0000 0.0000 0.0000 (multiplicity 2)
Mg1 0.1239 0.3761 0.0000 (multiplicity 4)
Hg1 0.1675 0.6675 0.5000 (multiplicity 4)

ΔE to the lowest computed polymorph: 0.216 eV per formula unit
DFT formation energy: -0.105 eV/atom

A plane-wave DFT calculation with PBE-GGA was carried out for a geometry-optimized RbMgHg2 structure.

Unit cell a=3.8835 b=3.8835 c=8.2189 alpha=90.00 beta=90.00 gamma=90.00
Space group P4/mmm (No. 123)
One atom of each set of equivalent atoms:
Rb1 0.0000 0.0000 0.0000 (multiplicity 1)
Mg1 0.0000 0.0000 0.5000 (multiplicity 1)
Hg1 0.5000 0.5000 0.3139 (multiplicity 2)

DFT formation energy: -0.155 eV/atom

A plane-wave DFT calculation with PBE-GGA was carried out for a geometry-optimized RbMg5Hg2 structure.

Unit cell a=4.6138 b=8.4893 c=11.3919 alpha=90.00 beta=90.00 gamma=90.00
Space group Immm (No. 71)
One atom of each set of equivalent atoms:
Rb1 0.0000 0.0000 0.0000 (multiplicity 2)
Mg1 0.0000 0.1841 0.3432 (multiplicity 8)
Mg2 0.0000 0.5000 0.0000 (multiplicity 2)
Hg1 0.0000 0.5000 0.2486 (multiplicity 4)

DFT formation energy: -0.089 eV/atom